1.
The following is a DFT calculation (PBEsol) of an optimized crystal structure of FeAs2PSe.

Values from the calculation:
Its space group is P4/mmm, No. 123. For the formation energy from raw total energies, the calculation gives 1.00 eV per atom. The value obtained for the total moment is 3.156 μB per formula unit.

a b c (Å): 4.688 4.688 4.642
angles (deg): 90.00 90.00 90.00
Element x y z (fractional)
P (0.000, 0.000, 0.000)
As (0.000, 0.500, 0.000)
As (0.500, 0.000, 0.000)
Fe (0.500, 0.500, 0.500)
Se (0.000, 0.000, 0.500)

=====

2.
The following is a DFT calculation (PBEsol) of an optimized crystal structure of LiZn2Cd.

Values from the calculation:
Its space group is Pmmm, No. 47. As for the energy of formation from the pure elements: -110 meV per atom. The value obtained for the total moment is 0.000 μB per formula unit.

a b c (Å): 3.862 3.849 4.211
angles (deg): 90.00 90.00 90.00
Element x y z (fractional)
Zn (0.000, 0.000, 0.000)
Zn (0.500, 0.500, 0.000)
Cd (0.500, 0.000, 0.500)
Li (0.000, 0.500, 0.500)

=====

3.
The following is a DFT calculation (PBEsol) of an optimized crystal structure of LaRh2Au.

Values from the calculation:
Its space group is P4mm, No. 99. As for the energy of formation from the pure elements: -187 meV per atom. The value obtained for the total moment is 0.000 μB per formula unit.

a b c (Å): 3.557 3.557 5.902
angles (deg): 90.00 90.00 90.00
Element x y z (fractional)
Au (0.000, 0.000, 0.477)
La (0.500, 0.500, 0.771)
Rh (0.000, 0.000, 0.034)
Rh (0.500, 0.500, 0.218)

=====

4.
The following is a DFT calculation (PBEsol) of an optimized crystal structure of ReAg2HgBi.

Values from the calculation:
Its space group is P4/mmm, No. 123. As for the energy of formation from the pure elements: 1807 meV per atom. The value obtained for the total moment is 4.143 μB per formula unit.

a b c (Å): 4.996 4.996 5.528
angles (deg): 90.00 90.00 90.00
Element x y z (fractional)
Re (0.500, 0.500, 0.500)
Bi (0.000, 0.000, 0.500)
Ag (0.000, 0.500, 0.000)
Ag (0.500, 0.000, 0.000)
Hg (0.000, 0.000, 0.000)

=====

5.
The following is a DFT calculation (PBEsol) of an optimized crystal structure of LiTl2In.

Values from the calculation:
Its space group is Immm, No. 71. As for the energy of formation from the pure elements: -95 meV per atom. The value obtained for the total moment is 0.000 μB per formula unit.

a b c (Å): 3.836 5.209 5.874
angles (deg): 116.32 109.06 90.00
Element x y z (fractional)
Tl (0.734, 0.734, 0.468)
Tl (0.266, 0.266, 0.532)
In (0.500, 0.000, 0.000)
Li (0.000, 0.500, 0.000)

=====

6.
The following is a DFT calculation (PBEsol) of an optimized crystal structure of AgPt2Au.

Values from the calculation:
Its space group is Cmmm, No. 65. As for the energy of formation from the pure elements: 26 meV per atom. The value obtained for the total moment is 0.000 μB per formula unit.

a b c (Å): 2.748 2.748 9.658
angles (deg): 90.00 90.00 119.36
Element x y z (fractional)
Au (0.500, 0.500, 0.000)
Pt (0.000, 0.000, 0.252)
Pt (0.000, 0.000, 0.748)
Ag (0.500, 0.500, 0.500)

=====

Look up the total moment of the first one. 3.156 μB per formula unit